Entry from Alexandria via LeMat-Bulk: a geometry-optimized In2Co3O8 structure (GGA+U).

```
In2Co3O8
1.0
-1.603 -1.738 4.289
2.418 -5.141 -1.179
3.559 4.673 1.202
In Co O
2 3 8
Direct
0.337 0.278 0.557
0.663 0.722 0.443
0.500 0.000 0.000
0.000 0.254 0.000
0.000 0.746 0.000
0.939 0.602 0.205
0.061 0.398 0.795
0.911 0.100 0.200
0.089 0.900 0.800
0.605 0.667 0.776
0.605 0.109 0.776
0.395 0.891 0.224
0.395 0.333 0.224
```

* raw total energy: -5.769 eV/atom
* SG: C2/m, No. 12